Entry from the Alexandria database: MnMoP2 after structural relaxation (PBE-GGA).

N(E_F)	3.83	states/eV/f.u.
calculated formation energy	0.10	eV/atom
space group	No. 122

a = 5.350 Å, b = 5.350 Å, c = 6.523 Å
α = 65.79°, β = 65.79°, γ = 90.00°
Last column: magnetic moment on the atom in μB.
Fractional positions:
P  0.134  0.625  0.250  -0.08
Mo  0.000  0.000  0.000  0.48
P  0.616  0.125  0.250  -0.08
Mn  0.500  0.500  0.000  2.82
Mo  0.750  0.250  0.500  0.48
P  0.875  0.866  0.750  -0.08
Mn  0.250  0.750  0.500  2.81
P  0.375  0.384  0.750  -0.08


Entry from the Alexandria database: MnMo2P2 after structural relaxation (PBE-GGA).

N(E_F)	4.44	states/eV/f.u.
calculated formation energy	-0.27	eV/atom
space group	No. 127

a = 6.644 Å, b = 6.644 Å, c = 3.151 Å
α = 90.00°, β = 90.00°, γ = 90.00°
Last column: magnetic moment on the atom in μB.
Fractional positions:
Mo  0.650  0.850  0.500  -0.14
P  0.851  0.649  0.000  0.01
Mo  0.850  0.350  0.500  -0.13
P  0.351  0.851  0.000  0.00
P  0.649  0.149  0.000  0.00
Mo  0.350  0.150  0.500  -0.14
Mo  0.150  0.650  0.500  -0.13
Mn  0.000  0.000  0.000  3.08
P  0.149  0.351  0.000  0.01
Mn  0.500  0.500  0.000  3.08


Entry from the Alexandria database: Mn21Mo2P6 after structural relaxation (PBE-GGA).

N(E_F)	34.30	states/eV/f.u.
calculated formation energy	-0.27	eV/atom
space group	No. 225

a = 7.819 Å, b = 7.819 Å, c = 7.819 Å
α = 60.00°, β = 60.00°, γ = 60.00°
Last column: magnetic moment on the atom in μB.
Fractional positions:
Mn  0.376  0.872  0.376  0.66
Mn  0.624  0.128  0.624  0.66
Mn  0.000  0.000  0.351  0.65
Mn  0.128  0.624  0.624  0.66
Mn  0.376  0.376  0.872  0.66
Mn  0.624  0.624  0.128  0.66
Mn  0.872  0.376  0.376  0.66
Mn  0.649  0.000  0.351  0.65
Mn  0.000  0.649  0.351  0.65
Mn  0.000  0.351  0.000  0.65
Mn  0.000  0.649  0.000  0.65
Mn  0.000  0.000  0.000  3.33
P  0.275  0.725  0.275  -0.04
Mn  0.351  0.649  0.000  0.65
Mn  0.351  0.000  0.649  0.65
Mo  0.750  0.750  0.750  -0.35
Mn  0.000  0.351  0.649  0.65
P  0.725  0.275  0.725  -0.04
Mn  0.000  0.000  0.649  0.65
Mo  0.250  0.250  0.250  -0.35
Mn  0.649  0.000  0.000  0.65
Mn  0.351  0.000  0.000  0.65
P  0.725  0.725  0.275  -0.04
Mn  0.624  0.624  0.624  0.66
P  0.725  0.275  0.275  -0.04
Mn  0.376  0.376  0.376  0.66
P  0.275  0.725  0.725  -0.04
Mn  0.649  0.351  0.000  0.65
P  0.275  0.275  0.725  -0.04


Entry from the Alexandria database: MnMoP2 after structural relaxation (PBE-GGA).

N(E_F)	3.49	states/eV/f.u.
calculated formation energy	-0.16	eV/atom
space group	No. 12

a = 3.835 Å, b = 3.835 Å, c = 5.119 Å
α = 78.69°, β = 78.69°, γ = 44.43°
Fractional positions:
Mo  0.250  0.250  0.250
Mn  0.750  0.750  0.750
P  0.495  0.495  0.542
P  0.005  0.005  0.958


Entry from the Alexandria database: MnMo3P after structural relaxation (PBE-GGA).

N(E_F)	7.24	states/eV/f.u.
calculated formation energy	0.93	eV/atom
space group	No. 221

a = 4.393 Å, b = 4.393 Å, c = 4.393 Å
α = 90.00°, β = 90.00°, γ = 90.00°
Fractional positions:
Mo  0.500  0.000  0.000
P  0.000  0.000  0.000
Mo  0.000  0.500  0.000
Mn  0.500  0.500  0.500
Mo  0.000  0.000  0.500


Entry from the Alexandria database: MnMoP2 after structural relaxation (PBE-GGA).

N(E_F)	2.58	states/eV/f.u.
calculated formation energy	-0.13	eV/atom
space group	No. 166

a = 7.367 Å, b = 7.367 Å, c = 7.367 Å
α = 22.60°, β = 22.60°, γ = 22.60°
Last column: magnetic moment on the atom in μB.
Fractional positions:
P  0.507  0.507  0.507  -0.03
P  0.993  0.993  0.993  -0.03
Mo  0.750  0.750  0.750  -0.01
Mn  0.250  0.250  0.250  0.70


Entry from the Alexandria database: MnMoP2 after structural relaxation (PBE-GGA).

N(E_F)	2.49	states/eV/f.u.
calculated formation energy	-0.51	eV/atom
space group	No. 44

a = 5.793 Å, b = 5.793 Å, c = 5.793 Å
α = 148.10°, β = 148.30°, γ = 45.59°
Last column: magnetic moment on the atom in μB.
Fractional positions:
Mo  0.293  0.793  0.500  0.12
P  0.968  0.968  0.000  -0.06
P  0.701  0.201  0.500  -0.04
Mn  0.539  0.539  0.000  1.75


Entry from the Alexandria database: MnMoP2 after structural relaxation (PBE-GGA).

N(E_F)	1.69	states/eV/f.u.
calculated formation energy	-0.05	eV/atom
space group	No. 160

a = 7.416 Å, b = 7.416 Å, c = 7.416 Å
α = 22.94°, β = 22.94°, γ = 22.94°
Last column: magnetic moment on the atom in μB.
Fractional positions:
Mo  0.746  0.746  0.746  -0.10
P  0.245  0.245  0.245  -0.06
P  0.000  0.000  0.000  -0.01
Mn  0.509  0.509  0.509  0.96